Material: ZnPt2
Method: DFT, GGA-PBEsol
State: optimized geometry

ΔE_f ... -0.39 eV/atom
Space-group type ... No. 141

a b c (Å): 3.8539 3.8539 11.9551
angles (deg): 99.28 99.28 90.00
Positions (direct):
Pt  0.5010  0.0010  0.0020
Pt  0.5848  0.5848  0.1695
Pt  0.6652  0.1652  0.3305
Pt  0.2510  0.2510  0.5020
Pt  0.9990  0.4990  0.9980
Pt  0.4152  0.4152  0.8305
Pt  0.8348  0.3348  0.6695
Pt  0.7490  0.7490  0.4980
Zn  0.9183  0.9183  0.8366
Zn  0.0817  0.0817  0.1634
Zn  0.3317  0.8317  0.6634
Zn  0.1683  0.6683  0.3366

=====

Material: BaMnPt3
Method: DFT, GGA-PBEsol
State: optimized geometry

ΔE_f ... 2.05 eV/atom
Space-group type ... No. 221

a b c (Å): 5.2182 5.2182 5.2182
angles (deg): 90.00 90.00 90.00
Positions (direct):
Pt  0.0000  0.0000  0.5000
Pt  0.0000  0.5000  0.0000
Pt  0.5000  0.0000  0.0000
Mn  0.5000  0.5000  0.5000
Ba  0.0000  0.0000  0.0000

=====

Material: AlCrF3
Method: DFT, GGA-PBEsol
State: optimized geometry

Space-group type ... No. 221
Raw formation energy ... -1.70 eV/atom

a b c (Å): 4.1054 4.1054 4.1054
angles (deg): 90.00 90.00 90.00
Positions (direct):
F  0.5000  0.0000  0.0000
F  0.0000  0.5000  0.0000
F  0.0000  0.0000  0.5000
Al  0.5000  0.5000  0.5000
Cr  0.0000  0.0000  0.0000

=====

Material: LiAu2
Method: DFT, GGA-PBEsol
State: optimized geometry

ΔE_f ... -0.38 eV/atom
Space-group type ... No. 194

a b c (Å): 4.4321 4.4321 5.4435
angles (deg): 90.00 90.00 120.00
Positions (direct):
Au  0.3333  0.6667  0.7500
Au  0.6667  0.3333  0.2500
Au  0.0000  0.0000  0.5000
Au  0.0000  0.0000  0.0000
Li  0.3333  0.6667  0.2500
Li  0.6667  0.3333  0.7500

=====

Material: Ca3Fe2W2O12
Method: DFT, GGA-PBEsol
State: optimized geometry

Relative energy among the computed polymorphs ... 0.0 meV/atom
Space-group type ... No. 6
Raw formation energy ... -2.25 eV/atom

a b c (Å): 5.3169 5.2999 7.4718
angles (deg): 90.00 89.90 90.00
Positions (direct):
O  0.2712  0.7449  0.0403
O  0.2712  0.2551  0.0403
O  0.7756  0.2596  0.9712
O  0.7825  0.7472  0.5292
O  0.4572  0.5000  0.7547
O  0.7756  0.7404  0.9712
O  0.5883  0.5000  0.2482
O  0.2683  0.7491  0.4601
O  0.9515  0.0000  0.2514
O  0.2683  0.2509  0.4601
O  0.0825  0.0000  0.7451
O  0.7825  0.2528  0.5292
W  0.5253  0.5000  0.5100
W  0.0199  0.0000  0.9892
Ca  0.5124  0.0000  0.2479
Ca  0.0251  0.5000  0.2505
Ca  0.0147  0.5000  0.7490
Fe  0.5225  0.5000  0.9999
Fe  0.0228  0.0000  0.5004

=====

Material: Sr2TiTc
Method: DFT, GGA-PBEsol
State: optimized geometry

ΔE_f ... 1.16 eV/atom
Space-group type ... No. 225

a b c (Å): 5.2741 5.2741 5.2741
angles (deg): 60.00 60.00 60.00
Positions (direct):
Sr  0.2500  0.2500  0.2500
Sr  0.7500  0.7500  0.7500
Tc  0.5000  0.5000  0.5000
Ti  0.0000  0.0000  0.0000

=====

Material: NaMgAs2Br
Method: DFT, GGA-PBEsol
State: optimized geometry

Space-group type ... No. 123
Raw formation energy ... 0.55 eV/atom

a b c (Å): 5.0211 5.0211 5.2217
angles (deg): 90.00 90.00 90.00
Positions (direct):
Br  0.0000  0.0000  0.5000
As  0.5000  0.0000  0.0000
As  0.0000  0.5000  0.0000
Na  0.0000  0.0000  0.0000
Mg  0.5000  0.5000  0.5000

=====

Material: MgSeN2
Method: DFT, GGA-PBEsol
State: optimized geometry

Space-group type ... No. 166
Raw formation energy ... 0.76 eV/atom

a b c (Å): 3.1741 3.1741 6.3953
angles (deg): 75.63 75.63 60.00
Positions (direct):
Mg  0.0000  0.0000  0.0000
N  0.8930  0.8930  0.3209
N  0.1070  0.1070  0.6791
Se  0.5000  0.5000  0.5000

=====

- What is the formula in the eighth record?
  MgSeN2

=====

- Which formula does entry 7 have?
  NaMgAs2Br

=====

Please write out number 6 again, unchanged.
Material: Sr2TiTc
Method: DFT, GGA-PBEsol
State: optimized geometry

ΔE_f ... 1.16 eV/atom
Space-group type ... No. 225

a b c (Å): 5.2741 5.2741 5.2741
angles (deg): 60.00 60.00 60.00
Positions (direct):
Sr  0.2500  0.2500  0.2500
Sr  0.7500  0.7500  0.7500
Tc  0.5000  0.5000  0.5000
Ti  0.0000  0.0000  0.0000